1.
# CeTlInI6 PBE optimized geometry
# * volume: 50.439 Å³/atom
data_CeTlInI6
_chemical_formula_sum 'Ce2 Tl2 In2 I12'
_symmetry_space_group_name_H-M 'P 42 n m'
_symmetry_Int_Tables_number 102
_symmetry_space_group_name_Hall 'P 4n -2n'
_cell_length_a 7.877
_cell_length_b 7.877
_cell_length_c 14.634
_cell_angle_alpha 90.00
_cell_angle_beta 90.00
_cell_angle_gamma 90.00
loop_
_atom_site_label
_atom_site_type_symbol
_atom_site_fract_x
_atom_site_fract_y
_atom_site_fract_z
Ce1 Ce 0.000 0.000 0.000
Tl1 Tl 0.000 0.000 0.667
In1 In 0.000 0.000 0.334
I1 I 0.184 0.184 0.155
I2 I 0.192 0.192 0.852
I3 I 0.227 0.227 0.497

***

2.
# Ce2IrI3 PBE optimized geometry
# * volume: 36.470 Å³/atom
data_Ce2IrI3
_chemical_formula_sum 'Ce8 Ir4 I12'
_symmetry_space_group_name_H-M 'C 1 2/m 1'
_symmetry_Int_Tables_number 12
_symmetry_space_group_name_Hall '-C 2y'
_cell_length_a 18.569
_cell_length_b 4.445
_cell_length_c 12.411
_cell_angle_alpha 90.00
_cell_angle_beta 121.30
_cell_angle_gamma 90.00
loop_
_atom_site_label
_atom_site_type_symbol
_atom_site_fract_x
_atom_site_fract_y
_atom_site_fract_z
Ce1 Ce 0.092 0.000 0.422
Ce2 Ce 0.130 0.500 0.791
Ir1 Ir 0.063 0.000 0.632
I1 I 0.049 0.500 0.209
I2 I 0.163 0.000 0.014
I3 I 0.224 0.500 0.616

***

3.
# Ce7IrI12 PBE optimized geometry
# * volume: 41.126 Å³/atom
data_Ce7IrI12
_chemical_formula_sum 'Ce21 Ir3 I36'
_symmetry_space_group_name_H-M 'R -3'
_symmetry_Int_Tables_number 148
_symmetry_space_group_name_Hall '-R 3'
_cell_length_a 16.1584
_cell_length_b 16.1584
_cell_length_c 10.9130
_cell_angle_alpha 90.00
_cell_angle_beta 90.00
_cell_angle_gamma 120.00
loop_
_atom_site_label
_atom_site_type_symbol
_atom_site_fract_x
_atom_site_fract_y
_atom_site_fract_z
Ce1 Ce 0.0000 0.0000 0.0000
Ce2 Ce 0.0430 0.1596 0.3499
Ir1 Ir 0.0000 0.0000 0.5000
I1 I 0.0212 0.5866 0.1607
I2 I 0.0506 0.1851 0.8391

***

4.
# CeIrI PBE optimized geometry
# * volume: 32.642 Å³/atom
data_CeIrI
_chemical_formula_sum 'Ce4 Ir4 I4'
_symmetry_space_group_name_H-M 'C 1 2/m 1'
_symmetry_Int_Tables_number 12
_symmetry_space_group_name_Hall '-C 2y'
_cell_length_a 7.536
_cell_length_b 4.354
_cell_length_c 11.940
_cell_angle_alpha 90.00
_cell_angle_beta 91.16
_cell_angle_gamma 90.00
loop_
_atom_site_label
_atom_site_type_symbol
_atom_site_fract_x
_atom_site_fract_y
_atom_site_fract_z
Ce1 Ce 0.005 0.000 0.157
Ir1 Ir 0.167 0.500 0.997
I1 I 0.177 0.500 0.337

***

| no. | uncorrected formation energy (eV per atom) |
| --- | --- |
| 1 | -0.8888 |
| 2 | -1.0135 |
| 3 | -1.2037 |
| 4 | -0.9993 |